<1>
Here is crystalline PtPb3 at its relaxed geometry from the Alexandria database. Energies are from PBEsol.

Output
Magnetic moment ... 0.00 μB per formula unit
Fermi-level density of states ... 3.68 states/eV per cell
Symmetry ... Cmcm (63)

Lattice parameters (Å, degrees): 3.723 6.510 9.243 110.62 90.00 90.00
Fractional positions:
Pb1 0.750 0.835 0.160
Pb2 0.750 0.777 0.555
Pb3 0.250 0.675 0.840
Pb4 0.750 0.325 0.160
Pb5 0.250 0.223 0.445
Pb6 0.250 0.165 0.840
Pt1 0.250 0.656 0.311
Pt2 0.750 0.344 0.689

---

<2>
Here is crystalline PtPb3 at its relaxed geometry from the Alexandria database. Energies are from PBEsol.

Output
Magnetic moment ... 0.00 μB per formula unit
Fermi-level density of states ... 1.84 states/eV per cell
Symmetry ... Imm2 (44)

Lattice parameters (Å, degrees): 3.692 5.975 5.888 120.49 108.27 90.00
Fractional positions:
Pb1 0.694 0.715 0.387
Pb2 0.306 0.328 0.613
Pb3 0.500 0.070 0.000
Pt1 0.000 0.720 0.000

---

Energies in meV/atom, measured from the most stable structure: <1> 0; <2> 18.

---

<1>
Here is crystalline PtRhPb2 at its relaxed geometry from the Alexandria database. Energies are from PBEsol.

Output
Magnetic moment ... 0.00 μB per formula unit
Fermi-level density of states ... 2.21 states/eV per cell
Symmetry ... P2/m (10)

Lattice parameters (Å, degrees): 3.381 4.568 5.598 114.13 90.00 90.00
Fractional positions:
Pb1 0.000 0.000 0.000
Pb2 0.500 0.500 0.500
Pt1 0.500 0.500 0.000
Rh1 0.000 0.000 0.500

---

<2>
Here is crystalline PtRhPb2 at its relaxed geometry from the Alexandria database. Energies are from PBEsol.

Output
Magnetic moment ... 0.00 μB per formula unit
Fermi-level density of states ... 2.35 states/eV per cell
Symmetry ... Amm2 (38)

Lattice parameters (Å, degrees): 3.577 4.166 5.609 90.00 108.60 90.00
Fractional positions:
Pb1 0.099 0.000 0.199
Pb2 0.395 0.500 0.791
Rh1 0.662 0.500 0.324
Pt1 0.828 0.000 0.655

---

Energies in meV/atom, measured from the most stable structure: <1> 219; <2> 0.

---

<1>
Here is crystalline Te2Pt2Pb at its relaxed geometry from the Alexandria database. Energies are from PBEsol.

Output
Magnetic moment ... 0.00 μB per formula unit
Fermi-level density of states ... 3.09 states/eV per cell
Symmetry ... I4/mmm (139)

Lattice parameters (Å, degrees): 4.595 4.595 6.408 111.01 111.01 90.00
Fractional positions:
Pb1 0.000 0.000 0.000
Te1 0.250 0.750 0.500
Te2 0.750 0.250 0.500
Pt1 0.381 0.381 0.762
Pt2 0.619 0.619 0.238

---

<2>
Here is crystalline Te2Pt2Pb at its relaxed geometry from the Alexandria database. Energies are from PBEsol.

Output
Magnetic moment ... 0.00 μB per formula unit
Fermi-level density of states ... 3.03 states/eV per cell
Symmetry ... I4/mmm (139)

Lattice parameters (Å, degrees): 3.892 3.892 8.196 103.73 103.73 90.00
Fractional positions:
Pb1 0.000 0.000 0.000
Te1 0.374 0.374 0.748
Te2 0.626 0.626 0.252
Pt1 0.250 0.750 0.500
Pt2 0.750 0.250 0.500

---

Energies in meV/atom, measured from the most stable structure: <1> 111; <2> 0.